1 | # LaCrTc2 | Alexandria via LeMat-Bulk | PBE | relaxed
# Total moment: 0.00 μB/f.u.
# Space-group type: R-3m (166)
# Calculated volume: 17.53 Å³/atom
# DOS(E_F): 1.253 states/eV per atom
data_LaCrTc2
_space_group_name_H-M_alt 'P 1'
_space_group_IT_number 1
_cell_length_a 9.239
_cell_length_b 9.239
_cell_length_c 9.239
_cell_angle_alpha 18.60
_cell_angle_beta 18.60
_cell_angle_gamma 18.60
loop_
_space_group_symop_operation_xyz
'x,y,z'
loop_
_atom_site_label
_atom_site_fract_x
_atom_site_fract_y
_atom_site_fract_z
_atom_site_occupancy
La1 0.000 0.000 0.000 1
Cr1 0.500 0.500 0.500 1
Tc1 0.232 0.232 0.232 1
Tc2 0.768 0.768 0.768 1

2 | # LaCrTc2 | Alexandria via LeMat-Bulk | PBE | relaxed
# Total moment: 0.00 μB/f.u.
# Space-group type: C2/m (12)
# Calculated volume: 18.69 Å³/atom
# DOS(E_F): 0.982 states/eV per atom
data_LaCrTc2
_space_group_name_H-M_alt 'P 1'
_space_group_IT_number 1
_cell_length_a 4.672
_cell_length_b 4.672
_cell_length_c 5.714
_cell_angle_alpha 104.90
_cell_angle_beta 104.90
_cell_angle_gamma 38.54
loop_
_space_group_symop_operation_xyz
'x,y,z'
loop_
_atom_site_label
_atom_site_fract_x
_atom_site_fract_y
_atom_site_fract_z
_atom_site_occupancy
La1 0.000 0.000 0.000 1
Cr1 0.500 0.500 0.500 1
Tc1 0.215 0.215 0.664 1
Tc2 0.785 0.785 0.336 1

Which structure is most stable, and how do the rest compare? From most to least stable: 2, 1.

1 | # Sb3Cl | Alexandria via LeMat-Bulk | PBE | relaxed
# Total moment: 0.00 μB/f.u.
# Space-group type: Pmm2 (25)
# Calculated volume: 31.77 Å³/atom
# DOS(E_F): 0.433 states/eV per atom
data_Sb3Cl
_space_group_name_H-M_alt 'P 1'
_space_group_IT_number 1
_cell_length_a 4.252
_cell_length_b 4.381
_cell_length_c 6.822
_cell_angle_alpha 90.00
_cell_angle_beta 90.00
_cell_angle_gamma 90.00
loop_
_space_group_symop_operation_xyz
'x,y,z'
loop_
_atom_site_label
_atom_site_fract_x
_atom_site_fract_y
_atom_site_fract_z
_atom_site_occupancy
Sb1 0.000 0.000 0.000 1
Sb2 0.000 0.500 0.321 1
Sb3 0.500 0.000 0.328 1
Cl1 0.500 0.500 0.819 1

2 | # Sb3Cl | Alexandria via LeMat-Bulk | PBE | relaxed
# Total moment: 0.00 μB/f.u.
# Space-group type: R-3m (166)
# Calculated volume: 28.65 Å³/atom
# DOS(E_F): 0.574 states/eV per atom
data_Sb3Cl
_space_group_name_H-M_alt 'P 1'
_space_group_IT_number 1
_cell_length_a 8.934
_cell_length_b 8.934
_cell_length_c 8.934
_cell_angle_alpha 25.30
_cell_angle_beta 25.30
_cell_angle_gamma 25.30
loop_
_space_group_symop_operation_xyz
'x,y,z'
loop_
_atom_site_label
_atom_site_fract_x
_atom_site_fract_y
_atom_site_fract_z
_atom_site_occupancy
Sb1 0.000 0.000 0.000 1
Sb2 0.255 0.255 0.255 1
Sb3 0.745 0.745 0.745 1
Cl1 0.500 0.500 0.500 1

Which structure is most stable, and how do the rest compare? From most to least stable: 1, 2.

1 | # BeBi2N | Alexandria via LeMat-Bulk | PBE | relaxed
# Total moment: 0.00 μB/f.u.
# Space-group type: I-42d (122)
# Calculated volume: 22.31 Å³/atom
# DOS(E_F): 0.618 states/eV per atom
data_BeBi2N
_space_group_name_H-M_alt 'P 1'
_space_group_IT_number 1
_cell_length_a 6.993
_cell_length_b 6.993
_cell_length_c 6.993
_cell_angle_alpha 133.20
_cell_angle_beta 133.20
_cell_angle_gamma 68.34
loop_
_space_group_symop_operation_xyz
'x,y,z'
loop_
_atom_site_label
_atom_site_fract_x
_atom_site_fract_y
_atom_site_fract_z
_atom_site_occupancy
Be1 0.000 0.000 0.000 1
Be2 0.750 0.250 0.500 1
Bi1 0.145 0.625 0.020 1
Bi2 0.375 0.395 0.520 1
Bi3 0.605 0.125 0.980 1
Bi4 0.875 0.855 0.480 1
N1 0.250 0.750 0.500 1
N2 0.500 0.500 0.000 1

2 | # BeBi2N | Alexandria via LeMat-Bulk | PBE | relaxed
# Total moment: 0.00 μB/f.u.
# Space-group type: Fm-3m (225)
# Calculated volume: 18.43 Å³/atom
# DOS(E_F): 0.609 states/eV per atom
data_BeBi2N
_space_group_name_H-M_alt 'P 1'
_space_group_IT_number 1
_cell_length_a 4.707
_cell_length_b 4.707
_cell_length_c 4.707
_cell_angle_alpha 60.00
_cell_angle_beta 60.00
_cell_angle_gamma 60.00
loop_
_space_group_symop_operation_xyz
'x,y,z'
loop_
_atom_site_label
_atom_site_fract_x
_atom_site_fract_y
_atom_site_fract_z
_atom_site_occupancy
Be1 0.000 0.000 0.000 1
Bi1 0.250 0.250 0.250 1
Bi2 0.750 0.750 0.750 1
N1 0.500 0.500 0.500 1

Which structure is most stable, and how do the rest compare? From most to least stable: 1, 2.

1 | # Sc2FeW | Alexandria via LeMat-Bulk | PBE | relaxed
# Total moment: 0.78 μB/f.u.
# Space-group type: P2/m (10)
# Calculated volume: 17.02 Å³/atom
# DOS(E_F): 1.228 states/eV per atom
data_Sc2FeW
_space_group_name_H-M_alt 'P 1'
_space_group_IT_number 1
_cell_length_a 2.870
_cell_length_b 4.395
_cell_length_c 5.559
_cell_angle_alpha 90.00
_cell_angle_beta 103.83
_cell_angle_gamma 90.00
loop_
_space_group_symop_operation_xyz
'x,y,z'
loop_
_atom_site_label
_atom_site_fract_x
_atom_site_fract_y
_atom_site_fract_z
_atom_site_occupancy
Sc1 0.187 0.000 0.258 1
Sc2 0.813 0.000 0.742 1
Fe1 0.000 0.500 0.500 1
W1 0.500 0.500 0.000 1

2 | # Sc2FeW | Alexandria via LeMat-Bulk | PBE | relaxed
# Total moment: 0.95 μB/f.u.
# Space-group type: Cmmm (65)
# Calculated volume: 17.05 Å³/atom
# DOS(E_F): 1.121 states/eV per atom
data_Sc2FeW
_space_group_name_H-M_alt 'P 1'
_space_group_IT_number 1
_cell_length_a 2.880
_cell_length_b 2.880
_cell_length_c 8.459
_cell_angle_alpha 90.00
_cell_angle_beta 90.00
_cell_angle_gamma 103.54
loop_
_space_group_symop_operation_xyz
'x,y,z'
loop_
_atom_site_label
_atom_site_fract_x
_atom_site_fract_y
_atom_site_fract_z
_atom_site_occupancy
Sc1 0.000 0.000 0.225 1
Sc2 0.000 0.000 0.775 1
Fe1 0.500 0.500 0.000 1
W1 0.500 0.500 0.500 1

Which structure is most stable, and how do the rest compare? From most to least stable: 2, 1.

1 | # LiMnMo2 | Alexandria via LeMat-Bulk | PBE | relaxed
# Total moment: 0.00 μB/f.u.
# Space-group type: Imm2 (44)
# Calculated volume: 13.78 Å³/atom
# DOS(E_F): 0.784 states/eV per atom
data_LiMnMo2
_space_group_name_H-M_alt 'P 1'
_space_group_IT_number 1
_cell_length_a 5.009
_cell_length_b 5.009
_cell_length_c 5.009
_cell_angle_alpha 145.24
_cell_angle_beta 128.92
_cell_angle_gamma 63.27
loop_
_space_group_symop_operation_xyz
'x,y,z'
loop_
_atom_site_label
_atom_site_fract_x
_atom_site_fract_y
_atom_site_fract_z
_atom_site_occupancy
Li1 0.000 0.000 0.000 1
Mn1 0.248 0.748 0.500 1
Mo1 0.470 0.470 0.000 1
Mo2 0.728 0.228 0.500 1

2 | # LiMnMo2 | Alexandria via LeMat-Bulk | PBE | relaxed
# Total moment: 2.90 μB/f.u.
# Space-group type: Cmm2 (35)
# Calculated volume: 15.33 Å³/atom
# DOS(E_F): 0.952 states/eV per atom
data_LiMnMo2
_space_group_name_H-M_alt 'P 1'
_space_group_IT_number 1
_cell_length_a 2.680
_cell_length_b 2.680
_cell_length_c 9.025
_cell_angle_alpha 90.00
_cell_angle_beta 90.00
_cell_angle_gamma 108.83
loop_
_space_group_symop_operation_xyz
'x,y,z'
loop_
_atom_site_label
_atom_site_fract_x
_atom_site_fract_y
_atom_site_fract_z
_atom_site_occupancy
Li1 0.000 0.000 0.000 1
Mn1 0.500 0.500 0.744 1
Mo1 0.000 0.000 0.514 1
Mo2 0.500 0.500 0.266 1

Which structure is most stable, and how do the rest compare? From most to least stable: 2, 1.

1 | # TlCuRe2 | Alexandria via LeMat-Bulk | PBE | relaxed
# Total moment: 0.00 μB/f.u.
# Space-group type: Immm (71)
# Calculated volume: 16.17 Å³/atom
# DOS(E_F): 0.746 states/eV per atom
data_TlCuRe2
_space_group_name_H-M_alt 'P 1'
_space_group_IT_number 1
_cell_length_a 5.526
_cell_length_b 5.526
_cell_length_c 5.526
_cell_angle_alpha 149.29
_cell_angle_beta 130.84
_cell_angle_gamma 59.09
loop_
_space_group_symop_operation_xyz
'x,y,z'
loop_
_atom_site_label
_atom_site_fract_x
_atom_site_fract_y
_atom_site_fract_z
_atom_site_occupancy
Tl1 0.000 0.000 0.000 1
Cu1 0.500 0.500 0.000 1
Re1 0.266 0.766 0.500 1
Re2 0.734 0.234 0.500 1

2 | # TlCuRe2 | Alexandria via LeMat-Bulk | PBE | relaxed
# Total moment: 0.00 μB/f.u.
# Space-group type: P2/m (10)
# Calculated volume: 17.27 Å³/atom
# DOS(E_F): 0.263 states/eV per atom
data_TlCuRe2
_space_group_name_H-M_alt 'P 1'
_space_group_IT_number 1
_cell_length_a 3.081
_cell_length_b 4.819
_cell_length_c 4.663
_cell_angle_alpha 90.00
_cell_angle_beta 93.67
_cell_angle_gamma 90.00
loop_
_space_group_symop_operation_xyz
'x,y,z'
loop_
_atom_site_label
_atom_site_fract_x
_atom_site_fract_y
_atom_site_fract_z
_atom_site_occupancy
Tl1 0.000 0.000 0.000 1
Cu1 0.500 0.000 0.500 1
Re1 0.206 0.500 0.291 1
Re2 0.794 0.500 0.709 1

Which structure is most stable, and how do the rest compare? From most to least stable: 2, 1.

1 | # Si4Ag | Alexandria via LeMat-Bulk | PBE | relaxed
# Total moment: 0.00 μB/f.u.
# Space-group type: I4/m (87)
# Calculated volume: 16.14 Å³/atom
# DOS(E_F): 0.318 states/eV per atom
data_Si4Ag
_space_group_name_H-M_alt 'P 1'
_space_group_IT_number 1
_cell_length_a 4.794
_cell_length_b 4.794
_cell_length_c 4.794
_cell_angle_alpha 102.76
_cell_angle_beta 102.76
_cell_angle_gamma 123.93
loop_
_space_group_symop_operation_xyz
'x,y,z'
loop_
_atom_site_label
_atom_site_fract_x
_atom_site_fract_y
_atom_site_fract_z
_atom_site_occupancy
Si1 0.051 0.705 0.756 1
Si2 0.295 0.051 0.346 1
Si3 0.705 0.949 0.654 1
Si4 0.949 0.295 0.244 1
Ag1 0.500 0.500 0.000 1

2 | # Si4Ag | Alexandria via LeMat-Bulk | PBE | relaxed
# Total moment: 0.00 μB/f.u.
# Space-group type: P4_2/nmc (137)
# Calculated volume: 16.72 Å³/atom
# DOS(E_F): 0.504 states/eV per atom
data_Si4Ag
_space_group_name_H-M_alt 'P 1'
_space_group_IT_number 1
_cell_length_a 5.301
_cell_length_b 5.301
_cell_length_c 5.949
_cell_angle_alpha 90.00
_cell_angle_beta 90.00
_cell_angle_gamma 90.00
loop_
_space_group_symop_operation_xyz
'x,y,z'
loop_
_atom_site_label
_atom_site_fract_x
_atom_site_fract_y
_atom_site_fract_z
_atom_site_occupancy
Si1 0.018 0.250 0.123 1
Si2 0.250 0.018 0.623 1
Si3 0.250 0.482 0.623 1
Si4 0.482 0.250 0.123 1
Si5 0.518 0.750 0.877 1
Si6 0.750 0.518 0.377 1
Si7 0.750 0.982 0.377 1
Si8 0.982 0.750 0.877 1
Ag1 0.250 0.750 0.250 1
Ag2 0.750 0.250 0.750 1

Which structure is most stable, and how do the rest compare? From most to least stable: 2, 1.

1 | # NdHoAu | Alexandria via LeMat-Bulk | PBE | relaxed
# Total moment: 0.00 μB/f.u.
# Space-group type: P3m1 (156)
# Calculated volume: 27.97 Å³/atom
# DOS(E_F): 0.901 states/eV per atom
data_NdHoAu
_space_group_name_H-M_alt 'P 1'
_space_group_IT_number 1
_cell_length_a 4.921
_cell_length_b 4.921
_cell_length_c 4.000
_cell_angle_alpha 90.00
_cell_angle_beta 90.00
_cell_angle_gamma 120.00
loop_
_space_group_symop_operation_xyz
'x,y,z'
loop_
_atom_site_label
_atom_site_fract_x
_atom_site_fract_y
_atom_site_fract_z
_atom_site_occupancy
Nd1 0.000 0.000 0.000 1
Ho1 0.333 0.667 0.475 1
Au1 0.667 0.333 0.652 1

2 | # NdHoAu | Alexandria via LeMat-Bulk | PBE | relaxed
# Total moment: 0.00 μB/f.u.
# Space-group type: P2_1/c (14)
# Calculated volume: 28.75 Å³/atom
# DOS(E_F): 1.306 states/eV per atom
data_NdHoAu
_space_group_name_H-M_alt 'P 1'
_space_group_IT_number 1
_cell_length_a 7.321
_cell_length_b 6.871
_cell_length_c 6.859
_cell_angle_alpha 90.00
_cell_angle_beta 90.05
_cell_angle_gamma 90.00
loop_
_space_group_symop_operation_xyz
'x,y,z'
loop_
_atom_site_label
_atom_site_fract_x
_atom_site_fract_y
_atom_site_fract_z
_atom_site_occupancy
Nd1 0.122 0.018 0.250 1
Nd2 0.122 0.482 0.750 1
Nd3 0.878 0.518 0.250 1
Nd4 0.878 0.982 0.750 1
Ho1 0.489 0.750 0.000 1
Ho2 0.489 0.750 0.500 1
Ho3 0.511 0.250 0.000 1
Ho4 0.511 0.250 0.500 1
Au1 0.275 0.009 0.750 1
Au2 0.275 0.491 0.250 1
Au3 0.725 0.509 0.750 1
Au4 0.725 0.991 0.250 1

Which structure is most stable, and how do the rest compare? From most to least stable: 2, 1.

1 | # In3IrBr | Alexandria via LeMat-Bulk | PBE | relaxed
# Total moment: 0.00 μB/f.u.
# Space-group type: P4mm (99)
# Calculated volume: 27.74 Å³/atom
# DOS(E_F): 0.382 states/eV per atom
data_In3IrBr
_space_group_name_H-M_alt 'P 1'
_space_group_IT_number 1
_cell_length_a 4.100
_cell_length_b 4.100
_cell_length_c 8.248
_cell_angle_alpha 90.00
_cell_angle_beta 90.00
_cell_angle_gamma 90.00
loop_
_space_group_symop_operation_xyz
'x,y,z'
loop_
_atom_site_label
_atom_site_fract_x
_atom_site_fract_y
_atom_site_fract_z
_atom_site_occupancy
In1 0.000 0.000 0.000 1
In2 0.000 0.500 0.663 1
In3 0.500 0.000 0.663 1
Ir1 0.500 0.500 0.884 1
Br1 0.000 0.000 0.327 1

2 | # In3IrBr | Alexandria via LeMat-Bulk | PBE | relaxed
# Total moment: 0.00 μB/f.u.
# Space-group type: Cmcm (63)
# Calculated volume: 27.36 Å³/atom
# DOS(E_F): 0.301 states/eV per atom
data_In3IrBr
_space_group_name_H-M_alt 'P 1'
_space_group_IT_number 1
_cell_length_a 6.834
_cell_length_b 6.834
_cell_length_c 6.149
_cell_angle_alpha 90.00
_cell_angle_beta 90.00
_cell_angle_gamma 107.73
loop_
_space_group_symop_operation_xyz
'x,y,z'
loop_
_atom_site_label
_atom_site_fract_x
_atom_site_fract_y
_atom_site_fract_z
_atom_site_occupancy
In1 0.000 0.000 0.000 1
In2 0.000 0.000 0.500 1
In3 0.127 0.526 0.750 1
In4 0.474 0.873 0.750 1
In5 0.526 0.127 0.250 1
In6 0.873 0.474 0.250 1
Ir1 0.187 0.813 0.250 1
Ir2 0.813 0.187 0.750 1
Br1 0.424 0.576 0.250 1
Br2 0.576 0.424 0.750 1

Which structure is most stable, and how do the rest compare? From most to least stable: 2, 1.